(1)
Material: K2Mo3Se18
Method: DFT, PBEsol
State: relaxed

## Properties
- Space group: P2_1 (4)
- Size of the total moment: 0.0 μB per cell
- Raw formation energy: -40 kJ/mol of atoms

a b c (Å): 10.2988 10.4769 12.5683
angles (deg): 90.00 90.00 116.36
Last column: nearest neighbours and their distance in Å.
Positions (direct):
K (0.2614, 0.3313, 0.6522)  5 Se 3.31-3.70
K (0.7386, 0.6687, 0.1522)  5 Se 3.31-3.70
K (0.4189, 0.9995, 0.1849)  5 Se 3.26-3.40
K (0.5811, 0.0005, 0.6849)  5 Se 3.26-3.40
Mo (0.0923, 0.4974, 0.2307)  7 Se 2.48-2.65, 2 Mo 2.74-2.75
Mo (0.9077, 0.5026, 0.7307)  7 Se 2.48-2.65, 2 Mo 2.74-2.75
Mo (0.2488, 0.3441, 0.2394)  7 Se 2.51-2.63, 2 Mo 2.74-2.75
Mo (0.7512, 0.6559, 0.7394)  7 Se 2.51-2.63, 2 Mo 2.74-2.75
Mo (0.9514, 0.2054, 0.2512)  7 Se 2.51-2.64, 2 Mo 2.75
Mo (0.0486, 0.7946, 0.7512)  7 Se 2.51-2.64, 2 Mo 2.75
Se (0.1070, 0.3707, 0.3932)  3 Mo 2.48-2.51
Se (0.8930, 0.6293, 0.8932)  3 Mo 2.48-2.51
Se (0.0919, 0.7331, 0.1546)  1 Se 2.36
Se (0.9081, 0.2669, 0.6546)  1 Se 2.36
Se (0.1081, 0.7118, 0.3405)  2 Se 2.36-2.41, 1 Mo 2.58
Se (0.8919, 0.2882, 0.8405)  2 Se 2.36-2.41, 1 Mo 2.58
Se (0.1191, 0.3144, 0.9138)  1 Se 2.41
Se (0.8809, 0.6856, 0.4138)  1 Se 2.41
Se (0.9087, 0.3396, 0.0974)  1 Se 2.35, 2 Mo 2.52-2.54
Se (0.0913, 0.6604, 0.5974)  1 Se 2.35, 2 Mo 2.52-2.54
Se (0.8143, 0.3660, 0.2612)  1 Se 2.35, 1 Mo 2.60
Se (0.1857, 0.6340, 0.7612)  1 Se 2.35, 1 Mo 2.60
Se (0.1117, 0.0753, 0.2851)  1 Se 2.39, 2 Mo 2.59-2.60
Se (0.8883, 0.9247, 0.7851)  1 Se 2.39, 2 Mo 2.59-2.60
Se (0.0969, 0.1505, 0.1080)  1 Se 2.39, 2 Mo 2.54-2.57
Se (0.9031, 0.8495, 0.6080)  1 Se 2.39, 2 Mo 2.54-2.57
Se (0.2666, 0.5108, 0.0846)  1 Se 2.41, 2 Mo 2.53-2.57
Se (0.7334, 0.4892, 0.5846)  1 Se 2.41, 2 Mo 2.53-2.57
Se (0.3751, 0.6208, 0.2508)  1 Se 2.41, 2 Mo 2.60-2.62
Se (0.6249, 0.3792, 0.7508)  1 Se 2.41, 2 Mo 2.60-2.62
Se (0.8348, 0.1107, 0.4350)  1 Se 2.39, 1 Mo 2.59
Se (0.1652, 0.8893, 0.9350)  1 Se 2.39, 1 Mo 2.59
Se (0.5893, 0.9319, 0.4250)  2 Se 2.39-2.41
Se (0.4107, 0.0681, 0.9250)  2 Se 2.39-2.41
Se (0.4344, 0.3031, 0.9616)  2 Se 2.41-2.42
Se (0.5656, 0.6969, 0.4616)  2 Se 2.41-2.42
Se (0.4751, 0.3353, 0.1513)  1 Se 2.42, 1 Mo 2.62
Se (0.5249, 0.6647, 0.6513)  1 Se 2.42, 1 Mo 2.62
Se (0.7223, 0.9733, 0.1942)  1 Se 2.41, 1 Mo 2.63
Se (0.2777, 0.0267, 0.6942)  1 Se 2.41, 1 Mo 2.63
Se (0.7682, 0.9861, 0.0052)  2 Se 2.35-2.41
Se (0.2318, 0.0139, 0.5052)  2 Se 2.35-2.41
Se (0.4557, 0.1607, 0.4254)  2 Se 2.35-2.39
Se (0.5443, 0.8393, 0.9254)  2 Se 2.35-2.39
Se (0.4517, 0.3808, 0.3801)  1 Se 2.39, 1 Mo 2.63
Se (0.5483, 0.6192, 0.8801)  1 Se 2.39, 1 Mo 2.63

=====

(2)
Material: KMo2Se
Method: DFT, PBEsol
State: relaxed

## Properties
- Space group: P4/mmm (123)
- Size of the total moment: 0.0 μB per cell
- Raw formation energy: 112 kJ/mol of atoms
- Energy above the lowest structure with this stoichiometry: 0.372 eV per atom

a b c (Å): 3.8780 3.8780 4.9459
angles (deg): 90.00 90.00 90.00
Last column: nearest neighbours and their distance in Å.
Positions (direct):
K (0.0000, 0.0000, 0.5000)  4 Se 2.74
Mo (0.0000, 0.5000, 0.0000)  4 Mo 2.74
Mo (0.5000, 0.0000, 0.0000)  4 Mo 2.74
Se (0.5000, 0.5000, 0.5000)  4 K 2.74

=====

Number 1: V 1215.1 Å³ per cell. Number 2: V 74.4 Å³ per cell.